Model w:
Material: MgAg6Au
Method: DFT, PBE-GGA
State: optimized geometry

Cell lengths 5.997, 5.997, 3.996 Å; angles 90.00, 90.00, 90.00 degrees
Space group P4/mmm (No. 123)
One atom of each set of equivalent atoms:
Mg: 0.000 0.000 0.000
Ag: 0.000 0.500 0.000
Ag: 0.248 0.248 0.500
Au: 0.500 0.500 0.000

Mass density = 10.03 g cm⁻³
Total magnetization = 0.00 μB/f.u.



Model x:
Material: MgAg6Au
Method: DFT, PBE-GGA
State: optimized geometry

Cell lengths 5.4869, 5.4869, 22.3163 Å; angles 90.00, 90.00, 120.00 degrees
Space group R-3m (No. 166, hexagonal axes)
One atom of each set of equivalent atoms:
Mg: 0.0000 0.0000 0.0000
Ag: 0.0003 0.5001 0.4369
Au: 0.0000 0.0000 0.5000

Mass density = 7.44 g cm⁻³
Total magnetization = 0.00 μB/f.u.



Stability summary - winner: model w; margin: 331 meV/atom.



Model w:
Material: Mg2AgAu3
Method: DFT, PBE-GGA
State: optimized geometry

Cell lengths 3.387, 3.387, 9.417 Å; angles 90.00, 90.00, 90.00 degrees
Space group P4/mmm (No. 123)
One atom of each set of equivalent atoms:
Mg: 0.000 0.000 0.170
Ag: 0.000 0.000 0.500
Au: 0.500 0.500 0.000
Au: 0.500 0.500 0.326

Mass density = 11.49 g cm⁻³
Total magnetization = 0.00 μB/f.u.



Model x:
Material: Mg2AgAu3
Method: DFT, PBE-GGA
State: optimized geometry

Cell lengths 14.884, 4.154, 8.560 Å; angles 90.00, 124.78, 90.00 degrees
Space group C2/m (No. 12)
One atom of each set of equivalent atoms:
Mg: 0.082 0.000 0.426
Mg: 0.247 0.500 0.136
Ag: 0.082 0.500 0.703
Au: 0.079 0.500 0.200
Au: 0.098 0.000 0.958
Au: 0.240 0.500 0.617

Mass density = 11.42 g cm⁻³
Total magnetization = 0.00 μB/f.u.



Stability summary - winner: model w; margin: 61 meV/atom.